## Pa2FeCuO8 (GGA+U)

Data for a geometry-optimized Pa2FeCuO8 structure.

Geometry as CIF:
```
data_Pa2FeCuO8
_chemical_formula_sum 'Pa4 Fe2 Cu2 O16'
_symmetry_space_group_name_H-M 'I -4'
_symmetry_Int_Tables_number 82
_cell_length_a 5.212
_cell_length_b 5.212
_cell_length_c 10.953
_cell_angle_alpha 90.00
_cell_angle_beta 90.00
_cell_angle_gamma 90.00
loop_
_symmetry_equiv_pos_as_xyz
'x,y,z'
'y,-x,-z'
'-x,-y,z'
'-y,x,-z'
'x+1/2,y+1/2,z+1/2'
'y+1/2,-x+1/2,-z+1/2'
'-x+1/2,-y+1/2,z+1/2'
'-y+1/2,x+1/2,-z+1/2'
loop_
_atom_site_label
_atom_site_type_symbol
_atom_site_fract_x
_atom_site_fract_y
_atom_site_fract_z
Pa1 Pa 0.000 0.000 0.000
Pa2 Pa 0.000 0.500 0.250
Fe1 Fe 0.000 0.000 0.500
Cu1 Cu 0.000 0.500 0.750
O1 O 0.176 0.722 0.420
O2 O 0.178 0.224 0.830
```

Values from the calculation:
Total DFT energy (no corrections) (hartree per atom): -0.2969
DOS(E_F) (states/eV/f.u.): 7.17
Crystal system: tetragonal